Below is SmGe3Pt2 after structural relaxation, with properties calculated at the PBE-GGA level.

As for the uncorrected energy: -5.8080 eV/atom. The calculation puts the formation enthalpy at 0 K at -0.70 eV/atom. The value obtained for the total magnetic moment is 0.00 μB/f.u.

The structure belongs to space group C2/m (No. 12); the cell edges are 16.0165, 4.2242 and 7.4589 Å and the angles 90.00°, 115.08° and 90.00°. Symmetry generates all atoms from Sm at (0.1264, 0.0000, 0.1549), Ge at (0.0441, 0.0000, 0.6779), Ge at (0.1596, 0.5000, 0.4637), Ge at (0.1825, 0.5000, 0.8925), Pt at (0.0098, 0.5000, 0.8214) and Pt at (0.2100, 0.0000, 0.6929).

***

Below is Zn2CdH2 after structural relaxation, with properties calculated at the PBE-GGA level.

The relative energy among the computed polymorphs comes out at 132 meV per atom. As for the uncorrected energy: -1.5963 eV/atom. The value obtained for the total magnetic moment is 0.00 μB/f.u.

The structure belongs to space group I4/mmm (No. 139); the cell edges are 3.8398, 3.8398 and 9.6074 Å and the angles 90.00°, 90.00° and 90.00°. Symmetry generates all atoms from Zn at (0.0000, 0.5000, 0.2500), Cd at (0.0000, 0.0000, 0.0000) and H at (0.0000, 0.0000, 0.3059).

***

Below is TmLuNiGe after structural relaxation, with properties calculated at the PBE-GGA level.

As for the uncorrected energy: -5.4184 eV/atom. The calculation puts the formation enthalpy at 0 K at -0.57 eV/atom. The value obtained for the total magnetic moment is 0.00 μB/f.u.

The structure belongs to space group F-43m (No. 216); the cell edges are 6.8358, 6.8358 and 6.8358 Å and the angles 90.00°, 90.00° and 90.00°. Symmetry generates all atoms from Tm at (0.0000, 0.0000, 0.0000), Lu at (0.0000, 0.0000, 0.5000), Ni at (0.2500, 0.2500, 0.7500) and Ge at (0.2500, 0.2500, 0.2500).

***

Below is AlNiAs after structural relaxation, with properties calculated at the PBE-GGA level.

As for the uncorrected energy: -4.8063 eV/atom. The calculation puts the formation enthalpy at 0 K at -0.08 eV/atom. The value obtained for the total magnetic moment is 0.00 μB/f.u.

The structure belongs to space group P3m1 (No. 156); the cell edges are 3.8891, 3.8891 and 3.6798 Å and the angles 90.00°, 90.00° and 120.00°. Symmetry generates all atoms from Al at (0.0000, 0.0000, 0.0000), Ni at (0.3333, 0.6667, 0.6785) and As at (0.6667, 0.3333, 0.5233).

***

Below is Ba5SnSe8 after structural relaxation, with properties calculated at the PBE-GGA level.

The energy relative to the elements, uncorrected is -1.343 eV/atom. As for the uncorrected energy: -4.3068 eV/atom. The value obtained for the total magnetic moment is 0.06 μB/f.u.

The structure belongs to space group I-4 (No. 82); the cell edges are 9.4444, 9.4444 and 10.5675 Å and the angles 90.00°, 90.00° and 90.00°. Symmetry generates all atoms from Ba at (0.0000, 0.0000, 0.0000), Ba at (0.1309, 0.2611, 0.6182), Sn at (0.0000, 0.5000, 0.2500), Se at (0.0669, 0.2274, 0.3001) and Se at (0.0963, 0.3180, 0.9253).

***

Below is Na4Pu3HfS8 after structural relaxation, with properties calculated at the PBE-GGA level.

The energy relative to the elements, uncorrected is -1.535 eV/atom. As for the uncorrected energy: -7.2382 eV/atom. The value obtained for the total magnetic moment is 16.00 μB/f.u.

The structure belongs to space group R-3m (No. 166, hexagonal axes); the cell edges are 7.9244, 7.9244 and 19.9514 Å and the angles 90.00°, 90.00° and 120.00°. Symmetry generates all atoms from Na at (0.0000, 0.0000, 0.0000), Na at (0.0000, 0.5000, 0.0000), Pu at (0.0000, 0.5000, 0.5000), Hf at (0.0000, 0.0000, 0.5000), S at (0.0000, 0.0000, 0.2432) and S at (0.0203, 0.5102, 0.2409).

***

Below is NbP3O after structural relaxation, with properties calculated at the PBE-GGA level.

The energy relative to the elements, uncorrected is 0.890 eV/atom. The relative energy among the computed polymorphs comes out at 668 meV per atom. As for the uncorrected energy: -5.3617 eV/atom. The value obtained for the total magnetic moment is 0.00 μB/f.u.

The structure belongs to space group Pm-3m (No. 221); the cell edges are 4.7563, 4.7563 and 4.7563 Å and the angles 90.00°, 90.00° and 90.00°. Symmetry generates all atoms from Nb at (0.0000, 0.0000, 0.0000), P at (0.0000, 0.0000, 0.5000) and O at (0.5000, 0.5000, 0.5000).

***

Below is GdFe11W after structural relaxation, with properties calculated at the PBE-GGA level.

As for the uncorrected energy: -9.2347 eV/atom. The calculation puts the formation enthalpy at 0 K at 0.01 eV/atom. The value obtained for the total magnetic moment is 27.79 μB/f.u.

The structure belongs to space group Imm2 (No. 44); the cell edges are 4.6791, 8.4647 and 8.5507 Å and the angles 90.00°, 90.00° and 90.00°. Symmetry generates all atoms from Gd at (0.0000, 0.0000, 0.0000), Fe at (0.0000, 0.0000, 0.3499), Fe at (0.0000, 0.2778, 0.4921), Fe at (0.0000, 0.3582, 0.9934), Fe at (0.0000, 0.5000, 0.2642), Fe at (0.0000, 0.5000, 0.7262), Fe at (0.2497, 0.2498, 0.2449) and W at (0.0000, 0.0000, 0.6252).

***

Below is Nd2TlTc after structural relaxation, with properties calculated at the PBE-GGA level.

As for the uncorrected energy: -5.6198 eV/atom. The calculation puts the formation enthalpy at 0 K at -0.05 eV/atom. The value obtained for the total magnetic moment is 0.00 μB/f.u.

The structure belongs to space group P4/mmm (No. 123); the cell edges are 3.5273, 3.5273 and 8.5781 Å and the angles 90.00°, 90.00° and 90.00°. Symmetry generates all atoms from Nd at (0.0000, 0.0000, 0.2007), Tl at (0.5000, 0.5000, 0.5000) and Tc at (0.5000, 0.5000, 0.0000).

***

Below is RbHg2TeAu after structural relaxation, with properties calculated at the PBE-GGA level.

The energy relative to the elements, uncorrected is -0.293 eV/atom. As for the uncorrected energy: -1.8915 eV/atom. The value obtained for the total magnetic moment is 0.00 μB/f.u.

The structure belongs to space group P4/mmm (No. 123); the cell edges are 5.4911, 5.4911 and 5.8280 Å and the angles 90.00°, 90.00° and 90.00°. Symmetry generates all atoms from Rb at (0.0000, 0.0000, 0.0000), Hg at (0.0000, 0.5000, 0.5000), Te at (0.5000, 0.5000, 0.0000) and Au at (0.5000, 0.5000, 0.5000).

***

Below is Ho2Pd5Pb2 after structural relaxation, with properties calculated at the PBE-GGA level.

As for the uncorrected energy: -5.2186 eV/atom. The calculation puts the formation enthalpy at 0 K at -0.49 eV/atom. The value obtained for the total magnetic moment is 0.00 μB/f.u.

The structure belongs to space group Ima2 (No. 46); the cell edges are 14.3366, 5.5061 and 9.3306 Å and the angles 90.00°, 90.00° and 90.00°. Symmetry generates all atoms from Ho at (0.1255, 0.0221, 0.0000), Pd at (0.0490, 0.2210, 0.7284), Pd at (0.1508, 0.7233, 0.7638), Pd at (0.2500, 0.2496, 0.2782), Pb at (0.0000, 0.0000, 0.4618) and Pb at (0.2500, 0.5290, 0.0327).

***

Below is ZrInRu2 after structural relaxation, with properties calculated at the PBE-GGA level.

As for the uncorrected energy: -7.1029 eV/atom. The calculation puts the formation enthalpy at 0 K at 0.36 eV/atom. The value obtained for the total magnetic moment is 0.00 μB/f.u.

The structure belongs to space group I-42d (No. 122); the cell edges are 7.1147, 7.1147 and 6.0044 Å and the angles 90.00°, 90.00° and 90.00°. Symmetry generates all atoms from Zr at (0.0000, 0.0000, 0.0000), In at (0.0000, 0.0000, 0.5000) and Ru at (0.2391, 0.2500, 0.1250).